# 1
Material: CeTaAl2O8
Method: DFT, GGA-PBE
State: optimized geometry

```
CeTaAl2O8
1.0
5.494 0.000 0.000
-2.747 4.758 0.000
0.000 0.000 6.418
Ce Ta Al O
1 1 2 8
direct
0.000 0.000 0.000
0.000 0.000 0.500
0.333 0.667 0.217
0.667 0.333 0.783
0.157 0.314 0.297
0.157 0.843 0.297
0.314 0.157 0.703
0.333 0.667 0.944
0.667 0.333 0.056
0.686 0.843 0.297
0.843 0.157 0.703
0.843 0.686 0.703
```

## Properties
- Magnetization: 1.0 Bohr magnetons per cell
- Formation energy without anion corrections: -2.593 eV per atom

# 2
Material: CaZn2Ni
Method: DFT, GGA-PBE
State: optimized geometry

```
CaZn2Ni
1.0
4.138 0.000 0.000
0.000 4.138 0.000
0.000 0.000 8.029
Ca Zn Ni
2 4 2
direct
0.000 0.000 0.000
0.500 0.500 0.500
0.000 0.500 0.250
0.000 0.500 0.750
0.500 0.000 0.250
0.500 0.000 0.750
0.000 0.000 0.500
0.500 0.500 0.000
```

## Properties
- Magnetization: 0.0 Bohr magnetons per cell
- Calculated formation energy: -0.07 eV/atom

# 3
Material: TaTi4Al5
Method: DFT, GGA-PBE
State: optimized geometry

```
TaTi4Al5
1.0
5.610 0.000 0.000
0.000 9.662 0.000
0.000 0.000 6.722
Ta Ti Al
2 8 10
direct
0.250 0.250 0.096
0.750 0.750 0.904
0.011 0.750 0.256
0.250 0.515 0.010
0.250 0.985 0.010
0.489 0.750 0.256
0.511 0.250 0.744
0.750 0.015 0.990
0.750 0.485 0.990
0.989 0.250 0.744
0.002 0.066 0.341
0.002 0.434 0.341
0.250 0.750 0.862
0.498 0.066 0.341
0.498 0.434 0.341
0.502 0.566 0.659
0.502 0.934 0.659
0.750 0.250 0.138
0.998 0.566 0.659
0.998 0.934 0.659
```

## Properties
- Magnetization: 0.0 Bohr magnetons per cell
- Calculated formation energy: 0.06 eV/atom
- Distance to the lowest polymorph of the same formula: 4.28 eV per formula unit

Total DFT energy (no corrections)? In order: -8.00 -2.65 -6.15 eV/atom.